*P*
HgGeS | PBE-GGA | relaxed

Unit cell a=3.5586 b=5.4930 c=9.3465 alpha=60.63 beta=90.00 gamma=89.99
Closest atoms and distances in Å follow each position.
Atoms (fractional coordinates):
Hg 0.7500 0.7029 0.0576  2 Ge 3.31, 6 Hg 3.40-3.56
Hg 0.2500 0.2971 0.9424  2 Ge 3.31, 6 Hg 3.40-3.56
Ge 0.2500 0.3444 0.3962  3 S 2.43-2.69
Ge 0.7500 0.6556 0.6038  3 S 2.43-2.69
S 0.7500 0.1698 0.5999  3 Ge 2.43-2.69
S 0.2500 0.8302 0.4001  3 Ge 2.43-2.69

Summary:
- Theoretical density: 6.4 g/cm³
- Crystal system: monoclinic


*Q*
HgGeS | PBE-GGA | relaxed

Unit cell a=5.7714 b=6.1389 c=6.1622 alpha=100.05 beta=69.53 gamma=58.60
Closest atoms and distances in Å follow each position.
Atoms (fractional coordinates):
Ge 0.8577 0.6017 0.4007  1 S 2.29
Ge 0.4940 0.4452 0.9221  2 S 2.30-2.37
S 0.0959 0.8378 0.9256  1 Ge 2.30
S 0.9801 0.2938 0.5837  2 Ge 2.29-2.37
Hg 0.3292 0.6588 0.4152  3 Ge 2.67-2.95, 1 S 2.68
Hg 0.3349 0.1115 0.8713  2 Ge 2.66-2.86, 1 S 2.67

Summary:
- Theoretical density: 6.5 g/cm³
- D(E_F): 0.33 states/eV/atom
- Crystal system: triclinic


Most stable to least stable, the ends of the list are *P* and *Q*.


*P*
Hg2GeSb2 | PBE-GGA | relaxed

Unit cell a=8.7587 b=8.7587 c=3.4596 alpha=90.00 beta=90.00 gamma=90.00
Closest atoms and distances in Å follow each position.
Atoms (fractional coordinates):
Sb 0.3105 0.8105 0.0000  6 Hg 2.95-3.26, 2 Ge 3.19
Sb 0.8105 0.6895 0.0000  6 Hg 2.95-3.26, 2 Ge 3.19
Sb 0.6895 0.1895 0.0000  6 Hg 2.95-3.26, 2 Ge 3.19
Sb 0.1895 0.3105 0.0000  6 Hg 2.95-3.26, 2 Ge 3.19
Ge 0.0000 0.0000 0.0000  4 Sb 3.19, 2 Ge 3.46
Ge 0.5000 0.5000 0.0000  4 Sb 3.19, 2 Ge 3.46
Hg 0.1180 0.6180 0.5000  1 Hg 2.92, 6 Sb 2.95-3.26
Hg 0.6180 0.8820 0.5000  1 Hg 2.92, 6 Sb 2.95-3.26
Hg 0.8820 0.3820 0.5000  1 Hg 2.92, 6 Sb 2.95-3.26
Hg 0.3820 0.1180 0.5000  1 Hg 2.92, 6 Sb 2.95-3.26

Summary:
- Theoretical density: 9.0 g/cm³
- D(E_F): 0.37 states/eV/atom
- Crystal system: tetragonal


*Q*
Hg2GeSb2 | PBE-GGA | relaxed

Unit cell a=4.0578 b=4.0578 c=9.2153 alpha=77.28 beta=77.28 gamma=90.00
Closest atoms and distances in Å follow each position.
Atoms (fractional coordinates):
Sb 0.4199 0.4199 0.1601  1 Sb 2.80
Sb 0.5801 0.5801 0.8399  1 Sb 2.80
Ge 0.0000 0.0000 0.0000  8 Sb 3.19
Hg 0.7500 0.2500 0.5000  4 Hg 2.87
Hg 0.2500 0.7500 0.5000  4 Hg 2.87

Summary:
- Theoretical density: 8.3 g/cm³
- D(E_F): 0.64 states/eV/atom
- Crystal system: tetragonal


Most stable to least stable, the ends of the list are *Q* and *P*.


*P*
Hg2Ge2Sb | PBE-GGA | relaxed

Unit cell a=8.5362 b=8.5362 c=3.2947 alpha=90.00 beta=90.00 gamma=90.00
Closest atoms and distances in Å follow each position.
Atoms (fractional coordinates):
Sb 0.0000 0.0000 0.0000  4 Ge 3.11, 2 Sb 3.29
Sb 0.5000 0.5000 0.0000  4 Ge 3.11, 2 Sb 3.29
Ge 0.3127 0.8127 0.0000  6 Hg 2.83-3.16, 2 Sb 3.11
Ge 0.8127 0.6873 0.0000  6 Hg 2.83-3.16, 2 Sb 3.11
Ge 0.6873 0.1873 0.0000  6 Hg 2.83-3.16, 2 Sb 3.11
Ge 0.1873 0.3127 0.0000  6 Hg 2.83-3.16, 2 Sb 3.11
Hg 0.1219 0.6219 0.5000  6 Ge 2.83-3.16, 1 Hg 2.94
Hg 0.6219 0.8781 0.5000  6 Ge 2.83-3.16, 1 Hg 2.94
Hg 0.8781 0.3781 0.5000  6 Ge 2.83-3.16, 1 Hg 2.94
Hg 0.3781 0.1219 0.5000  6 Ge 2.83-3.16, 1 Hg 2.94

Summary:
- Theoretical density: 9.2 g/cm³
- D(E_F): 0.42 states/eV/atom
- Crystal system: tetragonal


*Q*
Hg2Ge2Sb | PBE-GGA | relaxed

Unit cell a=4.0908 b=4.0908 c=8.0531 alpha=75.29 beta=75.29 gamma=90.00
Closest atoms and distances in Å follow each position.
Atoms (fractional coordinates):
Sb 0.0000 0.0000 0.0000  8 Ge 3.19
Ge 0.4110 0.4110 0.1781  1 Ge 2.68
Ge 0.5890 0.5890 0.8219  1 Ge 2.68
Hg 0.7500 0.2500 0.5000  4 Hg 2.89, 4 Ge 3.17
Hg 0.2500 0.7500 0.5000  4 Hg 2.89, 4 Ge 3.17

Summary:
- Theoretical density: 8.8 g/cm³
- D(E_F): 0.50 states/eV/atom
- Crystal system: tetragonal


Most stable to least stable, the ends of the list are *P* and *Q*.


*P*
Hg2Ge2Sb | PBE-GGA | relaxed

Unit cell a=8.5398 b=8.5398 c=3.2615 alpha=90.00 beta=90.00 gamma=90.00
Closest atoms and distances in Å follow each position.
Atoms (fractional coordinates):
Sb 0.0000 0.0000 0.0000  4 Hg 3.14, 2 Sb 3.26
Sb 0.5000 0.5000 0.0000  4 Hg 3.14, 2 Sb 3.26
Ge 0.1162 0.6162 0.5000  1 Ge 2.81, 6 Hg 2.97-3.05
Ge 0.6162 0.8838 0.5000  1 Ge 2.81, 6 Hg 2.97-3.05
Ge 0.8838 0.3838 0.5000  1 Ge 2.81, 6 Hg 2.97-3.05
Ge 0.3838 0.1162 0.5000  1 Ge 2.81, 6 Hg 2.97-3.05
Hg 0.3216 0.8216 0.0000  6 Ge 2.97-3.05, 2 Sb 3.14, 2 Hg 3.26
Hg 0.8216 0.6784 0.0000  6 Ge 2.97-3.05, 2 Sb 3.14, 2 Hg 3.26
Hg 0.6784 0.1784 0.0000  6 Ge 2.97-3.05, 2 Sb 3.14, 2 Hg 3.26
Hg 0.1784 0.3216 0.0000  6 Ge 2.97-3.05, 2 Sb 3.14, 2 Hg 3.26

Summary:
- Theoretical density: 9.3 g/cm³
- D(E_F): 0.55 states/eV/atom
- Crystal system: tetragonal


*Q*
Hg2Ge2Sb | PBE-GGA | relaxed

Unit cell a=3.7439 b=3.7439 c=9.1406 alpha=78.18 beta=78.18 gamma=90.00
Closest atoms and distances in Å follow each position.
Atoms (fractional coordinates):
Sb 0.0000 0.0000 0.0000  8 Hg 3.22
Ge 0.7500 0.2500 0.5000  4 Ge 2.65
Ge 0.2500 0.7500 0.5000  4 Ge 2.65
Hg 0.3956 0.3956 0.2089  4 Ge 3.16, 4 Sb 3.22
Hg 0.6044 0.6044 0.7911  4 Ge 3.16, 4 Sb 3.22

Summary:
- Theoretical density: 9.0 g/cm³
- D(E_F): 0.64 states/eV/atom
- Crystal system: tetragonal


Most stable to least stable, the ends of the list are *Q* and *P*.


*P*
HgGeSbTe2 | PBE-GGA | relaxed

Unit cell a=5.5990 b=5.5990 c=5.5126 alpha=90.00 beta=90.00 gamma=90.00
Closest atoms and distances in Å follow each position.
Atoms (fractional coordinates):
Sb 0.0000 0.0000 0.5000  2 Hg 2.76
Ge 0.5000 0.5000 0.5000  8 Te 3.93, 4 Sb 3.96
Te 0.0000 0.5000 0.0000  2 Hg 2.80
Te 0.5000 0.0000 0.0000  2 Hg 2.80
Hg 0.0000 0.0000 0.0000  2 Sb 2.76, 4 Te 2.80

Summary:
- Theoretical density: 6.2 g/cm³
- D(E_F): 1.06 states/eV/atom
- Crystal system: tetragonal


*Q*
HgGeSbTe2 | PBE-GGA | relaxed

Unit cell a=5.4556 b=5.4556 c=5.4669 alpha=90.00 beta=90.00 gamma=90.00
Closest atoms and distances in Å follow each position.
Atoms (fractional coordinates):
Sb 0.0000 0.0000 0.5000  2 Ge 2.73
Ge 0.0000 0.0000 0.0000  4 Te 2.73, 2 Sb 2.73
Te 0.0000 0.5000 0.0000  2 Ge 2.73
Te 0.5000 0.0000 0.0000  2 Ge 2.73
Hg 0.5000 0.5000 0.5000  4 Sb 3.86, 8 Te 3.86

Summary:
- Theoretical density: 6.6 g/cm³
- D(E_F): 0.98 states/eV/atom
- Crystal system: tetragonal


Most stable to least stable, the ends of the list are *Q* and *P*.


*P*
ScHg2Ge2 | PBE-GGA | relaxed

Unit cell a=4.0236 b=4.0236 c=7.6042 alpha=74.66 beta=74.66 gamma=90.00
Closest atoms and distances in Å follow each position.
Atoms (fractional coordinates):
Sc 0.0000 0.0000 0.0000  8 Ge 3.10
Ge 0.4126 0.4126 0.1747  1 Ge 2.46
Ge 0.5874 0.5874 0.8253  1 Ge 2.46
Hg 0.7500 0.2500 0.5000  4 Hg 2.85, 4 Ge 3.05
Hg 0.2500 0.7500 0.5000  4 Hg 2.85, 4 Ge 3.05

Summary:
- Theoretical density: 8.6 g/cm³
- D(E_F): 0.45 states/eV/atom
- Crystal system: tetragonal


*Q*
ScHg2Ge2 | PBE-GGA | relaxed

Unit cell a=7.1964 b=7.1964 c=4.2378 alpha=90.00 beta=90.00 gamma=90.00
Closest atoms and distances in Å follow each position.
Atoms (fractional coordinates):
Sc 0.0000 0.0000 0.0000  4 Ge 2.84
Sc 0.5000 0.5000 0.0000  4 Ge 2.84
Ge 0.3740 0.8740 0.0000  1 Ge 2.56, 2 Sc 2.84
Ge 0.8740 0.6260 0.0000  1 Ge 2.56, 2 Sc 2.84
Ge 0.6260 0.1260 0.0000  1 Ge 2.56, 2 Sc 2.84
Ge 0.1260 0.3740 0.0000  1 Ge 2.56, 2 Sc 2.84
Hg 0.1821 0.6821 0.5000  6 Ge 2.88-3.09
Hg 0.6821 0.8179 0.5000  6 Ge 2.88-3.09
Hg 0.8179 0.3179 0.5000  6 Ge 2.88-3.09
Hg 0.3179 0.1821 0.5000  6 Ge 2.88-3.09

Summary:
- Theoretical density: 8.9 g/cm³
- D(E_F): 0.58 states/eV/atom
- Crystal system: tetragonal


*R*
ScHg2Ge2 | PBE-GGA | relaxed

Unit cell a=7.8612 b=7.8612 c=3.5600 alpha=90.00 beta=90.00 gamma=90.00
Closest atoms and distances in Å follow each position.
Atoms (fractional coordinates):
Sc 0.0000 0.0000 0.0000  4 Hg 3.09, 8 Ge 3.40
Sc 0.5000 0.5000 0.0000  4 Hg 3.09, 8 Ge 3.40
Ge 0.1778 0.6778 0.5000  6 Hg 2.79-3.02
Ge 0.6778 0.8222 0.5000  6 Hg 2.79-3.02
Ge 0.8222 0.3222 0.5000  6 Hg 2.79-3.02
Ge 0.3222 0.1778 0.5000  6 Hg 2.79-3.02
Hg 0.3706 0.8706 0.0000  6 Ge 2.79-3.02, 1 Hg 2.88, 2 Sc 3.09
Hg 0.8706 0.6294 0.0000  6 Ge 2.79-3.02, 1 Hg 2.88, 2 Sc 3.09
Hg 0.6294 0.1294 0.0000  6 Ge 2.79-3.02, 1 Hg 2.88, 2 Sc 3.09
Hg 0.1294 0.3706 0.0000  6 Ge 2.79-3.02, 1 Hg 2.88, 2 Sc 3.09

Summary:
- Theoretical density: 8.9 g/cm³
- D(E_F): 0.60 states/eV/atom
- Crystal system: tetragonal


Most stable to least stable, the ends of the list are *Q* and *R*.